#a
Material: TaCrRh2
Method: DFT, PBE-GGA
State: relaxed

The structure belongs to space group I-42d (No. 122); the cell edges are 3.877, 3.877 and 17.162 Å and the angles 90.00°, 90.00° and 90.00°. The distinct sites, in fractional coordinates, are Ta at (0.000, 0.000, 0.000), Cr at (0.000, 0.000, 0.500) and Rh at (0.233, 0.250, 0.625).

Its size of the total moment is 0.28 μB/atom. Its crystal system is tetragonal.

***

#b
Material: TaCrRh2
Method: DFT, PBE-GGA
State: relaxed

The structure belongs to space group Fm-3m (No. 225); the cell edges are 6.257, 6.257 and 6.257 Å and the angles 90.00°, 90.00° and 90.00°. The distinct sites, in fractional coordinates, are Ta at (0.000, 0.000, 0.000), Cr at (0.000, 0.000, 0.500) and Rh at (0.250, 0.250, 0.250).

Its size of the total moment is 1.14 μB/atom. Its crystal system is cubic.

***

#c
Material: TaCrRh2
Method: DFT, PBE-GGA
State: relaxed

The structure belongs to space group Pmmm (No. 47); the cell edges are 2.777, 3.771 and 5.539 Å and the angles 90.00°, 90.00° and 90.00°. The distinct sites, in fractional coordinates, are Ta at (0.000, 0.000, 0.000), Cr at (0.000, 0.000, 0.500) and Rh at (0.500, 0.500, 0.264).

Its size of the total moment is 0.02 μB/atom. Its crystal system is orthorhombic.

***

#d
Material: TaCrRh2
Method: DFT, PBE-GGA
State: relaxed

The structure belongs to space group R3m (No. 160, hexagonal axes); the cell edges are 2.7721, 2.7721 and 26.7387 Å and the angles 90.00°, 90.00° and 120.00°. The distinct sites, in fractional coordinates, are Ta at (0.0000, 0.0000, 0.0000), Cr at (0.0000, 0.0000, 0.2443), Rh at (0.0000, 0.0000, 0.5055) and Rh at (0.0000, 0.0000, 0.7499).

Its size of the total moment is 0.05 μB/atom. Its crystal system is trigonal.

***

It turns out #c is the most stable, with the second structure 18 meV/atom higher.

***

#a
Material: TaCrRh2
Method: DFT, PBE-GGA
State: relaxed

The structure belongs to space group C2/m (No. 12); the cell edges are 9.032, 2.777 and 4.719 Å and the angles 90.00°, 100.21° and 90.00°. The distinct sites, in fractional coordinates, are Ta at (0.000, 0.000, 0.000), Cr at (0.000, 0.500, 0.500) and Rh at (0.245, 0.000, 0.738).

Its size of the total moment is 0.00 μB/atom. Its crystal system is monoclinic.

***

#b
Material: TaCrRh2
Method: DFT, PBE-GGA
State: relaxed

The structure belongs to space group Pmm2 (No. 25); the cell edges are 2.850, 4.444 and 4.737 Å and the angles 90.00°, 90.00° and 90.00°. The distinct sites, in fractional coordinates, are Ta at (0.000, 0.000, 0.000), Cr at (0.000, 0.500, 0.616), Rh at (0.500, 0.000, 0.514) and Rh at (0.500, 0.500, 0.143).

Its size of the total moment is 0.64 μB/atom. Its crystal system is orthorhombic.

***

#c
Material: TaCrRh2
Method: DFT, PBE-GGA
State: relaxed

The structure belongs to space group R-3m (No. 166, hexagonal axes); the cell edges are 2.7672, 2.7672 and 26.4196 Å and the angles 90.00°, 90.00° and 120.00°. The distinct sites, in fractional coordinates, are Ta at (0.0000, 0.0000, 0.0000), Cr at (0.0000, 0.0000, 0.5000) and Rh at (0.0000, 0.0000, 0.2438).

Its size of the total moment is 0.00 μB/atom. Its crystal system is trigonal.

***

#d
Material: TaCrRh2
Method: DFT, PBE-GGA
State: relaxed

The structure belongs to space group P2/m (No. 10); the cell edges are 4.652, 2.834 and 4.749 Å and the angles 90.00°, 108.42° and 90.00°. The distinct sites, in fractional coordinates, are Ta at (0.000, 0.000, 0.000), Cr at (0.000, 0.500, 0.500), Rh at (0.500, 0.000, 0.500) and Rh at (0.500, 0.500, 0.000).

Its size of the total moment is 0.49 μB/atom. Its crystal system is monoclinic.

***

It turns out #b is the most stable, with the second structure 139 meV/atom higher.

***

#a
Material: TaCrRh2
Method: DFT, PBE-GGA
State: relaxed

The structure belongs to space group I4/mmm (No. 139); the cell edges are 3.938, 3.938 and 7.569 Å and the angles 90.00°, 90.00° and 90.00°. The distinct sites, in fractional coordinates, are Ta at (0.000, 0.000, 0.000), Cr at (0.000, 0.000, 0.500) and Rh at (0.000, 0.500, 0.250).

Its size of the total moment is 0.45 μB/atom. Its crystal system is tetragonal.

***

#b
Material: TaCrRh2
Method: DFT, PBE-GGA
State: relaxed

The structure belongs to space group P4/mmm (No. 123); the cell edges are 3.969, 3.969 and 3.750 Å and the angles 90.00°, 90.00° and 90.00°. The distinct sites, in fractional coordinates, are Ta at (0.000, 0.000, 0.000), Cr at (0.500, 0.500, 0.000) and Rh at (0.000, 0.500, 0.500).

Its size of the total moment is 0.61 μB/atom. Its crystal system is tetragonal.

***

#c
Material: TaCrRh2
Method: DFT, PBE-GGA
State: relaxed

The structure belongs to space group I-4m2 (No. 119); the cell edges are 3.850, 3.850 and 8.001 Å and the angles 90.00°, 90.00° and 90.00°. The distinct sites, in fractional coordinates, are Ta at (0.000, 0.000, 0.000), Cr at (0.000, 0.500, 0.250), Rh at (0.000, 0.000, 0.500) and Rh at (0.000, 0.500, 0.750).

Its size of the total moment is 0.61 μB/atom. Its crystal system is tetragonal.

***

It turns out #b is the most stable, with the second structure 35 meV/atom higher.

***

#a
Material: TaCrRh2
Method: DFT, PBE-GGA
State: relaxed

The structure belongs to space group P4/mmm (No. 123); the cell edges are 2.777, 2.777 and 7.501 Å and the angles 90.00°, 90.00° and 90.00°. The distinct sites, in fractional coordinates, are Ta at (0.000, 0.000, 0.000), Cr at (0.000, 0.000, 0.500) and Rh at (0.500, 0.500, 0.272).

Its size of the total moment is 0.11 μB/atom. Its crystal system is tetragonal.

***

#b
Material: TaCrRh2
Method: DFT, PBE-GGA
State: relaxed

The structure belongs to space group Cmmm (No. 65); the cell edges are 5.615, 7.460 and 2.840 Å and the angles 90.00°, 90.00° and 90.00°. The distinct sites, in fractional coordinates, are Ta at (0.000, 0.000, 0.000), Cr at (0.000, 0.500, 0.000) and Rh at (0.250, 0.250, 0.500).

Its size of the total moment is 0.56 μB/atom. Its crystal system is orthorhombic.

***

It turns out #b is the most stable, with the second structure 13 meV/atom higher.

***

#a
Material: Cr2TcRh2
Method: DFT, PBE-GGA
State: relaxed

The structure belongs to space group P4/mbm (No. 127); the cell edges are 7.200, 7.200 and 2.643 Å and the angles 90.00°, 90.00° and 90.00°. The distinct sites, in fractional coordinates, are Cr at (0.170, 0.330, 0.000), Tc at (0.000, 0.000, 0.500) and Rh at (0.128, 0.628, 0.500).

Its size of the total moment is 0.00 μB/atom. Its crystal system is tetragonal.

***

#b
Material: Cr2TcRh2
Method: DFT, PBE-GGA
State: relaxed

The structure belongs to space group P4/mbm (No. 127); the cell edges are 7.128, 7.128 and 2.669 Å and the angles 90.00°, 90.00° and 90.00°. The distinct sites, in fractional coordinates, are Cr at (0.115, 0.385, 0.000), Tc at (0.000, 0.000, 0.000) and Rh at (0.178, 0.678, 0.500).

Its size of the total moment is 0.00 μB/atom. Its crystal system is tetragonal.

***

It turns out #b is the most stable, with the second structure 53 meV/atom higher.

***

#a
Material: CrTe4Rh
Method: DFT, PBE-GGA
State: relaxed

The structure belongs to space group F-43m (No. 216); the cell edges are 8.759, 8.759 and 8.759 Å and the angles 90.00°, 90.00° and 90.00°. The distinct sites, in fractional coordinates, are Cr at (0.000, 0.000, 0.000), Te at (0.125, 0.125, 0.375) and Rh at (0.250, 0.250, 0.750).

Its size of the total moment is 0.55 μB/atom. Its crystal system is cubic.

***

#b
Material: CrTe4Rh
Method: DFT, PBE-GGA
State: relaxed

The structure belongs to space group P2/m (No. 10); the cell edges are 5.871, 3.921 and 6.652 Å and the angles 90.00°, 90.64° and 90.00°. The distinct sites, in fractional coordinates, are Cr at (0.000, 0.000, 0.000), Te at (0.250, 0.000, 0.663), Te at (0.257, 0.500, 0.167) and Rh at (0.000, 0.500, 0.500).

Its size of the total moment is 0.44 μB/atom. Its crystal system is monoclinic.

***

It turns out #b is the most stable, with the second structure 1328 meV/atom higher.

***

#a
Material: TiCr3Rh
Method: DFT, PBE-GGA
State: relaxed

The structure belongs to space group Pm-3m (No. 221); the cell edges are 4.195, 4.195 and 4.195 Å and the angles 90.00°, 90.00° and 90.00°. The distinct sites, in fractional coordinates, are Ti at (0.000, 0.000, 0.000), Cr at (0.000, 0.000, 0.500) and Rh at (0.500, 0.500, 0.500).

Its size of the total moment is 0.00 μB/atom. Its crystal system is cubic.

***

#b
Material: TiCr3Rh
Method: DFT, PBE-GGA
State: relaxed

The structure belongs to space group Pm-3m (No. 221); the cell edges are 4.624, 4.624 and 4.624 Å and the angles 90.00°, 90.00° and 90.00°. The distinct sites, in fractional coordinates, are Ti at (0.000, 0.000, 0.000), Cr at (0.000, 0.500, 0.500) and Rh at (0.500, 0.500, 0.500).

Its size of the total moment is 1.50 μB/atom. Its crystal system is cubic.

***

It turns out #b is the most stable, with the second structure 183 meV/atom higher.

***

#a
Material: TiCr2Rh
Method: DFT, PBE-GGA
State: relaxed

The structure belongs to space group I-42d (No. 122); the cell edges are 6.886, 6.886 and 4.889 Å and the angles 90.00°, 90.00° and 90.00°. The distinct sites, in fractional coordinates, are Ti at (0.000, 0.000, 0.000), Cr at (0.234, 0.250, 0.625) and Rh at (0.000, 0.000, 0.500).

Its size of the total moment is 0.00 μB/atom. Its crystal system is tetragonal.

***

#b
Material: TiCr2Rh
Method: DFT, PBE-GGA
State: relaxed

The structure belongs to space group Fm-3m (No. 225); the cell edges are 5.990, 5.990 and 5.990 Å and the angles 90.00°, 90.00° and 90.00°. The distinct sites, in fractional coordinates, are Ti at (0.000, 0.000, 0.000), Cr at (0.250, 0.250, 0.250) and Rh at (0.000, 0.000, 0.500).

Its size of the total moment is 0.41 μB/atom. Its crystal system is cubic.

***

It turns out #b is the most stable, with the second structure 389 meV/atom higher.

***

#a
Material: TlCr2Rh
Method: DFT, PBE-GGA
State: relaxed

The structure belongs to space group P2/m (No. 10); the cell edges are 2.813, 4.201 and 5.415 Å and the angles 90.00°, 90.08° and 90.00°. The distinct sites, in fractional coordinates, are Tl at (0.000, 0.000, 0.000), Cr at (0.499, 0.500, 0.323) and Rh at (0.000, 0.000, 0.500).

Its size of the total moment is 0.00 μB/atom. Its crystal system is monoclinic.

***

#b
Material: TlCr2Rh
Method: DFT, PBE-GGA
State: relaxed

The structure belongs to space group I-42d (No. 122); the cell edges are 7.349, 7.349 and 5.577 Å and the angles 90.00°, 90.00° and 90.00°. The distinct sites, in fractional coordinates, are Tl at (0.000, 0.000, 0.000), Cr at (0.210, 0.250, 0.625) and Rh at (0.000, 0.000, 0.500).

Its size of the total moment is 1.89 μB/atom. Its crystal system is tetragonal.

***

It turns out #a is the most stable, with the second structure 346 meV/atom higher.

***

#a
Material: TlCr2Rh
Method: DFT, PBE-GGA
State: relaxed

The structure belongs to space group Cm (No. 8); the cell edges are 9.273, 3.015 and 4.787 Å and the angles 90.00°, 106.85° and 90.00°. The distinct sites, in fractional coordinates, are Tl at (0.000, 0.000, 0.000), Cr at (0.271, 0.500, 0.291), Cr at (0.487, 0.000, 0.492) and Rh at (0.234, 0.000, 0.732).

Its size of the total moment is 0.05 μB/atom. Its crystal system is monoclinic.

***

#b
Material: TlCr2Rh
Method: DFT, PBE-GGA
State: relaxed

The structure belongs to space group I-4m2 (No. 119); the cell edges are 4.054, 4.054 and 7.854 Å and the angles 90.00°, 90.00° and 90.00°. The distinct sites, in fractional coordinates, are Tl at (0.000, 0.000, 0.000), Cr at (0.000, 0.000, 0.500), Cr at (0.000, 0.500, 0.750) and Rh at (0.000, 0.500, 0.250).

Its size of the total moment is 0.04 μB/atom. Its crystal system is tetragonal.

***

#c
Material: TlCr2Rh
Method: DFT, PBE-GGA
State: relaxed

The structure belongs to space group R3m (No. 160, hexagonal axes); the cell edges are 2.9567, 2.9567 and 24.8406 Å and the angles 90.00°, 90.00° and 120.00°. The distinct sites, in fractional coordinates, are Tl at (0.0000, 0.0000, 0.0000), Cr at (0.0000, 0.0000, 0.4928), Cr at (0.0000, 0.0000, 0.7655) and Rh at (0.0000, 0.0000, 0.2391).

Its size of the total moment is 0.00 μB/atom. Its crystal system is trigonal.

***

It turns out #b is the most stable, with the second structure 80 meV/atom higher.

***

#a
Material: TmCrRh2
Method: DFT, PBE-GGA
State: relaxed

The structure belongs to space group P4/mmm (No. 123); the cell edges are 4.502, 4.502 and 3.278 Å and the angles 90.00°, 90.00° and 90.00°. The distinct sites, in fractional coordinates, are Tm at (0.000, 0.000, 0.000), Cr at (0.500, 0.500, 0.000) and Rh at (0.000, 0.500, 0.500).

Its size of the total moment is 0.93 μB/atom. Its crystal system is tetragonal.

***

#b
Material: TmCrRh2
Method: DFT, PBE-GGA
State: relaxed

The structure belongs to space group P4/mmm (No. 123); the cell edges are 3.252, 3.252 and 6.284 Å and the angles 90.00°, 90.00° and 90.00°. The distinct sites, in fractional coordinates, are Tm at (0.000, 0.000, 0.000), Cr at (0.000, 0.000, 0.500) and Rh at (0.500, 0.500, 0.276).

Its size of the total moment is 0.85 μB/atom. Its crystal system is tetragonal.

***

It turns out #a is the most stable, with the second structure 38 meV/atom higher.